# 1
Al4Ru | PBE-GGA | relaxed

energy	-5.138	eV/atom
D(E_F)	19.3	states/eV/cell
total magnetization	0.00	Bohr magnetons per cell

The structure in CIF format:
```
data_Al4Ru
_chemical_formula_sum 'Al48 Ru12'
_cell_length_a 13.558
_cell_length_b 11.804
_cell_length_c 9.079
_cell_angle_alpha 90.00
_cell_angle_beta 128.86
_cell_angle_gamma 90.00
_symmetry_space_group_name_H-M 'C 1 2/c 1'
_symmetry_Int_Tables_number 15
_symmetry_space_group_name_Hall '-C 2yc'
loop_
_atom_site_label
_atom_site_type_symbol
_atom_site_fract_x
_atom_site_fract_y
_atom_site_fract_z
_atom_site_occupancy
Al1 Al 0.000 0.099 0.250 1
Al2 Al 0.089 0.455 0.961 1
Al3 Al 0.113 0.210 0.078 1
Al4 Al 0.121 0.337 0.643 1
Al5 Al 0.138 0.124 0.805 1
Al6 Al 0.234 0.033 0.630 1
Al7 Al 0.250 0.250 0.500 1
Ru1 Ru 0.000 0.279 0.750 1
Ru2 Ru 0.209 0.073 0.341 1
```

=====

# 2
SrCaMn2Au | PBE-GGA | relaxed

energy	-4.636	eV/atom
D(E_F)	6.4	states/eV/cell
total magnetization	8.76	Bohr magnetons per cell

The structure in CIF format:
```
data_SrCaMn2Au
_chemical_formula_sum 'Sr1 Ca1 Mn2 Au1'
_cell_length_a 5.206
_cell_length_b 5.206
_cell_length_c 5.696
_cell_angle_alpha 90.00
_cell_angle_beta 90.00
_cell_angle_gamma 90.00
_symmetry_space_group_name_H-M 'P 4/m m m'
_symmetry_Int_Tables_number 123
_symmetry_space_group_name_Hall '-P 4 2'
loop_
_atom_site_label
_atom_site_type_symbol
_atom_site_fract_x
_atom_site_fract_y
_atom_site_fract_z
_atom_site_occupancy
Sr1 Sr 0.000 0.000 0.000 1
Ca1 Ca 0.500 0.500 0.000 1
Mn1 Mn 0.000 0.500 0.500 1
Au1 Au 0.000 0.000 0.500 1
```

=====

Asked for formation energy across the records above, the calculation gives -139; 205 kJ/mol of formula units in order.